The following is a PBE+U calculation of a geometry-optimized ZnCrO2 structure, from Alexandria via LeMat-Bulk.

Summary:
As for the total energy: -6.0356 eV/atom. Its magnetic moment is 0.999 μB/atom.

a b c (Å): 3.021 8.140 8.616
angles (deg): 89.42 83.09 86.29
Space group P-1 (No. 2)
Asymmetric unit:
Zn 0.245 0.084 0.233 x2
Zn 0.255 0.262 0.610 x2
Cr 0.169 0.586 0.694 x2
Cr 0.343 0.787 0.071 x2
O 0.096 0.255 0.078 x2
O 0.224 0.090 0.775 x2
O 0.305 0.596 0.290 x2
O 0.335 0.255 0.386 x2